Entry from OQMD via LeMat-Bulk: a relaxed SrZnTeO crystal (PBE).

It has space group Pbca (No. 61), with a = 7.4902 Å, b = 7.7821 Å, c = 13.2566 Å, α = 90.00°, β = 90.00° and γ = 90.00°. The asymmetric unit holds Sr at (0.1099, 0.0675, 0.2121), Zn at (0.0643, 0.7076, 0.0623), Te at (0.2492, 0.5545, 0.4632) and O at (0.1183, 0.7403, 0.2046).

For the total energy, the calculation gives -4.292 eV/atom.


Entry from OQMD via LeMat-Bulk: a relaxed SrZnTeO crystal (PBE).

It has space group Pbca (No. 61), with a = 6.4022 Å, b = 8.4458 Å, c = 14.0775 Å, α = 90.00°, β = 90.00° and γ = 90.00°. The asymmetric unit holds Sr at (0.2437, 0.1221, 0.1128), Zn at (0.1399, 0.6247, 0.8068), Te at (0.2436, 0.1272, 0.4159) and O at (0.1754, 0.1262, 0.6948).

For the total energy, the calculation gives -4.346 eV/atom.